LaTiSb2Te | PBE | relaxed

Unit cell a=5.2184 b=5.2184 c=5.5247 alpha=90.00 beta=90.00 gamma=90.00
Closest atoms and distances in Å follow each position.
Space group P4/mmm (No. 123)
Asymmetric unit:
La1 0.0000 0.0000 0.0000 [1 per cell]  4 Te 3.69, 8 Sb 3.80
Ti1 0.5000 0.5000 0.5000 [1 per cell]  4 Sb 2.61, 2 Te 2.76
Sb1 0.0000 0.5000 0.5000 [2 per cell]  2 Ti 2.61
Te1 0.5000 0.5000 0.0000 [1 per cell]  2 Ti 2.76

calculated total energy = -5.328 eV per atom

LaTlSbTe2 | PBE | relaxed

Unit cell a=6.1709 b=6.1709 c=6.1673 alpha=90.00 beta=90.00 gamma=90.00
Closest atoms and distances in Å follow each position.
Space group P4/mmm (No. 123)
Asymmetric unit:
La1 0.0000 0.0000 0.0000 [1 per cell]  2 Sb 3.08, 4 Te 3.09
Tl1 0.5000 0.5000 0.5000 [1 per cell]  8 Te 4.36, 4 Sb 4.36
Sb1 0.0000 0.0000 0.5000 [1 per cell]  2 La 3.08
Te1 0.0000 0.5000 0.0000 [2 per cell]  2 La 3.09

distance to the lowest polymorph of the same formula = 0.00 eV/f.u.
calculated total energy = -3.730 eV per atom

LaTlSbTe2 | PBE | relaxed

Unit cell a=5.7404 b=5.7404 c=5.5599 alpha=90.00 beta=90.00 gamma=90.00
Closest atoms and distances in Å follow each position.
Space group P4/mmm (No. 123)
Asymmetric unit:
La1 0.0000 0.0000 0.0000 [1 per cell]  8 Te 4.00, 4 Sb 4.06
Tl1 0.5000 0.5000 0.5000 [1 per cell]  2 Sb 2.78, 4 Te 2.87
Sb1 0.5000 0.5000 0.0000 [1 per cell]  2 Tl 2.78
Te1 0.0000 0.5000 0.5000 [2 per cell]  2 Tl 2.87

distance to the lowest polymorph of the same formula = 0.97 eV/f.u.
calculated total energy = -3.537 eV per atom

LaTmSbTe | PBE | relaxed

Unit cell a=4.4613 b=4.4613 c=21.9098 alpha=90.00 beta=90.00 gamma=120.00
Closest atoms and distances in Å follow each position.
Space group R3m (No. 160, hexagonal axes)
Asymmetric unit:
La1 0.0000 0.0000 0.0000 [3 per cell]  3 Sb 3.20, 3 Te 3.28
Tm1 0.0000 0.0000 0.4934 [3 per cell]  3 Sb 3.04, 3 Te 3.12
Sb1 0.0000 0.0000 0.7530 [3 per cell]  3 Tm 3.04, 3 La 3.20
Te1 0.0000 0.0000 0.2404 [3 per cell]  3 Tm 3.12, 3 La 3.28

calculated total energy = -5.487 eV per atom

LaVSb2Te | PBE | relaxed

Unit cell a=5.0476 b=5.0476 c=5.7242 alpha=90.00 beta=90.00 gamma=90.00
Closest atoms and distances in Å follow each position.
Space group P4/mmm (No. 123)
Asymmetric unit:
La1 0.0000 0.0000 0.0000 [1 per cell]  4 Te 3.57, 8 Sb 3.82
V1 0.5000 0.5000 0.5000 [1 per cell]  4 Sb 2.52
Sb1 0.0000 0.5000 0.5000 [2 per cell]  2 V 2.52
Te1 0.5000 0.5000 0.0000 [1 per cell]  2 V 2.86

calculated total energy = -5.384 eV per atom

LaSb2TeW | PBE | relaxed

Unit cell a=5.1623 b=5.1623 c=5.7934 alpha=90.00 beta=90.00 gamma=90.00
Closest atoms and distances in Å follow each position.
Space group P4/mmm (No. 123)
Asymmetric unit:
La1 0.0000 0.0000 0.0000 [1 per cell]  4 Te 3.65, 8 Sb 3.88
Sb1 0.0000 0.5000 0.5000 [2 per cell]  2 W 2.58
Te1 0.5000 0.5000 0.0000 [1 per cell]  2 W 2.90
W1 0.5000 0.5000 0.5000 [1 per cell]  4 Sb 2.58

distance to the lowest polymorph of the same formula = 0.00 eV/f.u.
calculated total energy = -5.751 eV per atom

LaSb2TeW | PBE | relaxed

Unit cell a=6.0242 b=6.0242 c=5.9553 alpha=90.00 beta=90.00 gamma=90.00
Closest atoms and distances in Å follow each position.
Space group P4/mmm (No. 123)
Asymmetric unit:
La1 0.0000 0.0000 0.0000 [1 per cell]  2 Te 2.98, 4 Sb 3.01
Sb1 0.0000 0.5000 0.0000 [2 per cell]  2 La 3.01
Te1 0.0000 0.0000 0.5000 [1 per cell]  2 La 2.98
W1 0.5000 0.5000 0.5000 [1 per cell]  8 Sb 4.24, 4 Te 4.26

distance to the lowest polymorph of the same formula = 7.18 eV/f.u.
calculated total energy = -4.315 eV per atom

LaYSb2Te | PBE | relaxed

Unit cell a=5.6809 b=5.6809 c=5.7651 alpha=90.00 beta=90.00 gamma=90.00
Closest atoms and distances in Å follow each position.
Space group P4/mmm (No. 123)
Asymmetric unit:
La1 0.0000 0.0000 0.0000 [1 per cell]  4 Te 4.02, 8 Sb 4.05
Y1 0.5000 0.5000 0.5000 [1 per cell]  4 Sb 2.84, 2 Te 2.88
Sb1 0.0000 0.5000 0.5000 [2 per cell]  2 Y 2.84
Te1 0.5000 0.5000 0.0000 [1 per cell]  2 Y 2.88

distance to the lowest polymorph of the same formula = 0.00 eV/f.u.
calculated total energy = -4.962 eV per atom